Entry 1:
Computed, not measured: Rb8Sb2H after structural relaxation at the PBE level of DFT.

Cell: 6.253 8.319 12.371 Å, 115.84 104.64 90.00°
Fractional coordinates of all 11 atoms:
Sb1 0.160 0.653 0.320
Sb2 0.840 0.347 0.680
Rb1 0.590 0.373 0.180
Rb2 0.028 0.778 0.055
Rb3 0.676 0.937 0.351
Rb4 0.972 0.222 0.945
Rb5 0.222 0.317 0.444
Rb6 0.324 0.063 0.649
Rb7 0.778 0.683 0.556
Rb8 0.410 0.627 0.820
H1 0.500 0.000 0.000

As for the symmetry: C2/m, No. 12. As for the total energy: -21.61 eV for the cell shown. The density is 2.8 g/cm³. The value obtained for the calculated volume is 50.54 Å³/atom. Its density of states at the Fermi level is 3.28 states/eV/cell.



Entry 2:
Computed, not measured: Rb5SbH after structural relaxation at the PBE level of DFT.

Cell: 8.960 8.960 11.961 Å, 69.77 69.77 67.33°
Fractional coordinates of all 14 atoms:
Rb1 0.669 0.281 0.971
Rb2 0.713 0.807 0.625
Rb3 0.331 0.719 0.029
Rb4 0.287 0.193 0.375
Rb5 0.807 0.713 0.125
Rb6 0.066 0.934 0.750
Rb7 0.193 0.287 0.875
Rb8 0.934 0.066 0.250
Rb9 0.719 0.331 0.529
Rb10 0.281 0.669 0.471
Sb1 0.424 0.576 0.750
Sb2 0.576 0.424 0.250
H1 0.000 0.000 0.500
H2 0.000 0.000 0.000

As for the symmetry: C2/c, No. 15. As for the total energy: -27.01 eV for the cell shown. The density is 2.3 g/cm³. The value obtained for the calculated volume is 57.57 Å³/atom. Its density of states at the Fermi level is 5.17 states/eV/cell.



Entry 3:
Computed, not measured: RbSbH after structural relaxation at the PBE level of DFT.

Cell: 4.724 5.801 7.202 Å, 112.32 90.05 90.02°
Fractional coordinates of all 6 atoms:
Sb1 0.391 0.083 0.698
Sb2 0.891 0.958 0.439
H1 0.888 0.201 0.027
H2 0.890 0.169 0.122
Rb1 0.892 0.646 0.837
Rb2 0.391 0.401 0.311

As for the symmetry: P1, No. 1. The density is 3.8 g/cm³. The calculation puts the energy above the lowest structure with this stoichiometry at 0 meV/atom. The value obtained for the calculated volume is 30.43 Å³/atom. Its density of states at the Fermi level is 1.46 states/eV/cell.



Entry 4:
Computed, not measured: Rb3SbH after structural relaxation at the PBE level of DFT.

Cell: 5.746 5.746 5.746 Å, 90.00 90.00 90.00°
Each line ends with the local moment (μB).
Fractional coordinates of all 5 atoms:
Rb1 0.000 0.000 0.500  0.00
Rb2 0.500 0.000 0.000  0.01
Rb3 0.000 0.500 0.000  0.01
Sb1 0.500 0.500 0.500  0.32
H1 0.000 0.000 0.000  0.00

As for the symmetry: Pm-3m, No. 221. The density is 3.3 g/cm³. The calculation puts the energy above the lowest structure with this stoichiometry at 0 meV/atom. The value obtained for the calculated volume is 37.94 Å³/atom. Its density of states at the Fermi level is 3.86 states/eV/cell.



Entry 5:
Computed, not measured: RbSb2H after structural relaxation at the PBE level of DFT.

Cell: 6.845 6.845 6.925 Å, 60.38 60.38 90.00°
Fractional coordinates of all 8 atoms:
Sb1 0.875 0.625 0.750
Sb2 0.375 0.625 0.250
Sb3 0.375 0.125 0.250
Sb4 0.375 0.625 0.750
H1 0.500 0.500 0.000
H2 0.250 0.750 0.500
Rb1 0.000 0.000 0.000
Rb2 0.750 0.250 0.500

As for the symmetry: I4_1/amd, No. 141. The density is 4.7 g/cm³. The calculation puts the energy above the lowest structure with this stoichiometry at 90 meV/atom. The value obtained for the calculated volume is 29.00 Å³/atom. Its density of states at the Fermi level is 3.56 states/eV/cell.



Entry 6:
Computed, not measured: RbSbH after structural relaxation at the PBE level of DFT.

Cell: 5.337 5.456 7.368 Å, 79.74 68.93 89.34°
Fractional coordinates of all 6 atoms:
H1 0.262 0.297 0.070
H2 0.650 0.051 0.593
Sb1 0.163 0.494 0.252
Sb2 0.989 0.088 0.577
Rb1 0.435 0.544 0.667
Rb2 0.716 0.030 0.147

As for the symmetry: P1, No. 1. The density is 3.5 g/cm³. The calculation puts the energy above the lowest structure with this stoichiometry at 50 meV/atom. The value obtained for the calculated volume is 32.77 Å³/atom.



Entry 7:
Computed, not measured: RbSbH3 after structural relaxation at the PBE level of DFT.

Cell: 4.504 4.504 4.504 Å, 90.00 90.00 90.00°
Fractional coordinates of all 5 atoms:
H1 0.000 0.000 0.500
H2 0.500 0.000 0.000
H3 0.000 0.500 0.000
Rb1 0.000 0.000 0.000
Sb1 0.500 0.500 0.500

As for the symmetry: Pm-3m, No. 221. The density is 3.8 g/cm³. The calculation puts the energy above the lowest structure with this stoichiometry at 1015 meV/atom. The value obtained for the calculated volume is 18.27 Å³/atom. Its density of states at the Fermi level is 2.64 states/eV/cell.



Entry 8:
Computed, not measured: RbSb2H after structural relaxation at the PBE level of DFT.

Cell: 4.568 9.082 13.101 Å, 89.94 90.00 90.00°
Fractional coordinates of all 16 atoms:
Rb1 0.750 0.533 0.750
Rb2 0.250 0.967 0.750
Rb3 0.250 0.467 0.250
Rb4 0.750 0.033 0.250
Sb1 0.746 0.902 0.973
Sb2 0.246 0.598 0.527
Sb3 0.246 0.098 0.473
Sb4 0.254 0.598 0.973
Sb5 0.754 0.402 0.473
Sb6 0.746 0.402 0.027
Sb7 0.754 0.902 0.527
Sb8 0.254 0.098 0.027
H1 0.500 0.750 0.041
H2 0.500 0.250 0.959
H3 0.000 0.750 0.459
H4 0.000 0.250 0.541

As for the symmetry: P2_1/c, No. 14. The density is 4.0 g/cm³. The calculation puts the energy above the lowest structure with this stoichiometry at 0 meV/atom. The value obtained for the calculated volume is 33.97 Å³/atom. Its density of states at the Fermi level is 3.99 states/eV/cell.